[1]
## CaBeAl2 (meta-GGA SCAN)

Data for a PBEsol-optimized structure of CaBeAl2.

## Properties
E_form   0.3437 eV/atom
Final energy   -28.15 eV per formula unit
Fermi-level density of states   0.369 states/eV per atom

```
CaBeAl2
1.0
2.765 0.032 0.000
-0.911 5.369 0.000
-0.927 -2.701 4.800
Al Ca Be
2 1 1
direct
0.500 0.500 0.500 Al
0.000 0.000 0.500 Al
0.500 0.000 0.000 Ca
0.000 0.500 0.000 Be
```

[2]
## CaBeAl2 (meta-GGA SCAN)

Data for a PBEsol-optimized structure of CaBeAl2.

## Properties
E_form   0.4237 eV/atom
Final energy   -27.83 eV per formula unit
Fermi-level density of states   0.526 states/eV per atom

```
CaBeAl2
1.0
-0.588 -2.655 -1.571
1.497 -0.594 -2.696
6.782 -5.183 3.080
Al Ca Be
2 1 1
direct
0.758 0.758 0.727 Al
0.009 0.009 0.973 Al
0.243 0.243 0.270 Ca
0.490 0.490 0.530 Be
```

[3]
## SrCaBeAl2 (meta-GGA SCAN)

Data for a PBEsol-optimized structure of SrCaBeAl2.

## Properties
E_form   0.9046 eV/atom
Final energy   -47.27 eV per formula unit
Fermi-level density of states   0.860 states/eV per atom

```
SrCaBeAl2
1.0
5.077 0.000 0.000
0.000 5.471 0.000
0.000 0.000 5.471
Al Sr Be Ca
2 1 1 1
direct
0.000 0.000 0.500 Al
0.000 0.500 0.000 Al
0.500 0.500 0.500 Sr
0.500 0.000 0.000 Be
0.000 0.000 0.000 Ca
```

[4]
## Be2AlCd (meta-GGA SCAN)

Data for a PBEsol-optimized structure of Be2AlCd.

## Properties
E_form   0.4028 eV/atom
Final energy   -45.26 eV per formula unit
Fermi-level density of states   0.338 states/eV per atom

```
Be2AlCd
1.0
-2.669 1.891 -2.085
-2.810 -1.952 1.827
2.590 2.645 2.692
Cd Be Al
1 2 1
direct
0.500 0.500 0.000 Cd
0.250 0.750 0.500 Be
0.750 0.250 0.500 Be
0.000 0.000 0.000 Al
```

[5]
## Be4AlCd (meta-GGA SCAN)

Data for a PBEsol-optimized structure of Be4AlCd.

## Properties
E_form   0.1907 eV/atom
Final energy   -54.44 eV per formula unit
Fermi-level density of states   0.267 states/eV per atom

```
Be4AlCd
1.0
-3.163 -3.283 0.285
-1.196 -1.671 4.080
-4.120 0.941 1.735
Be Al Cd
4 1 1
direct
0.373 0.373 0.880 Be
0.880 0.373 0.373 Be
0.373 0.373 0.373 Be
0.373 0.880 0.373 Be
0.000 0.000 0.000 Al
0.750 0.750 0.750 Cd
```

[6]
## BeAlCdPd2 (meta-GGA SCAN)

Data for a PBEsol-optimized structure of BeAlCdPd2.

## Properties
E_form   -0.1273 eV/atom
Final energy   -108.71 eV per formula unit
Fermi-level density of states   0.307 states/eV per atom

```
BeAlCdPd2
1.0
-0.293 -4.052 1.267
4.164 -0.482 -0.576
0.692 1.200 3.998
Pd Cd Be Al
2 1 1 1
direct
0.000 0.000 0.500 Pd
0.000 0.500 0.000 Pd
0.500 0.500 0.500 Cd
0.000 0.000 0.000 Be
0.500 0.000 0.000 Al
```